Entry from Alexandria via LeMat-Bulk: crystalline Rb2MnO3 at its relaxed geometry (GGA+U).

Cell: 6.507 6.507 8.075 Å, 90.00 90.00 120.00°
Fractional positions:
Rb 0.000 0.000 0.000
Rb 0.000 0.000 0.500
Rb 0.333 0.667 0.250
Rb 0.667 0.333 0.750
Mn 0.333 0.667 0.750
Mn 0.667 0.333 0.250
O 0.181 0.363 0.750
O 0.181 0.819 0.750
O 0.363 0.181 0.250
O 0.637 0.819 0.750
O 0.819 0.181 0.250
O 0.819 0.637 0.250

Values from the calculation:
energy: -64.627 eV/cell
magnetization: 6.000 μB per cell
crystal system: hexagonal
space-group type: P6_3/mmc (194)